[1]
Below is ReSeIN2 at its PBEsol-relaxed geometry, with properties calculated at the SCAN level. Values from VASP.

Summary:
magnetization	4.30	μB per formula unit
E_tot	-26.796	eV/atom
energy relative to the elements, uncorrected	12.522	eV per formula unit

```
&SYSTEM
  ibrav = 0, nat = 5, ntyp = 4
/
ATOMIC_SPECIES
I 126.90 I.upf
Re 186.21 Re.upf
Se 78.96 Se.upf
N 14.01 N.upf
CELL_PARAMETERS angstrom
3.874 0.000 0.000
0.000 3.874 0.000
0.000 0.000 6.058
ATOMIC_POSITIONS crystal
I 0.000 0.000 0.000
Re 0.500 0.500 0.500
Se 0.000 0.000 0.500
N 0.000 0.500 0.000
N 0.500 0.000 0.000
```

[2]
Below is LiTc4Ag at its PBEsol-relaxed geometry, with properties calculated at the SCAN level. Values from VASP.

Summary:
magnetization	0.00	μB per formula unit
E_tot	-28.470	eV/atom

```
&SYSTEM
  ibrav = 0, nat = 6, ntyp = 3
/
ATOMIC_SPECIES
Ag 107.87 Ag.upf
Li 6.94 Li.upf
Tc 98.00 Tc.upf
CELL_PARAMETERS angstrom
-0.190 -2.718 -4.280
4.275 -1.085 -2.508
1.765 -4.756 -0.065
ATOMIC_POSITIONS crystal
Ag 0.750 0.750 0.750
Li 0.000 0.000 0.000
Tc 0.375 0.375 0.375
Tc 0.375 0.375 0.875
Tc 0.875 0.375 0.375
Tc 0.375 0.875 0.375
```

[3]
Below is ScIN2 at its PBEsol-relaxed geometry, with properties calculated at the SCAN level. Values from VASP.

Summary:
magnetization	0.00	μB per formula unit
E_tot	-16.388	eV/atom
energy relative to the elements, uncorrected	4.008	eV per formula unit

```
&SYSTEM
  ibrav = 0, nat = 4, ntyp = 3
/
ATOMIC_SPECIES
I 126.90 I.upf
Sc 44.96 Sc.upf
N 14.01 N.upf
CELL_PARAMETERS angstrom
-2.763 -0.835 1.967
-2.050 -2.676 -0.914
2.013 -5.108 3.763
ATOMIC_POSITIONS crystal
I 0.500 0.500 0.500
Sc 0.000 0.000 0.000
N 0.890 0.890 0.329
N 0.110 0.110 0.671
```